MnMo2PN: relaxed, GGA-PBE.

Cell lengths 4.602, 4.602, 3.413 Å; angles 90.00, 90.00, 90.00 degrees
Space group P4/mmm (No. 123)
Asymmetric unit:
Mn1 0.000 0.000 0.000 x1
Mo1 0.000 0.500 0.000 x2
P1 0.500 0.500 0.500 x1
N1 0.000 0.000 0.500 x1

Summary:
Raw formation energy: 846 meV/atom
Crystal system: tetragonal
Density: 6.7 g/cm3
Size of the total moment: 0.00 μB/f.u.
VASP energy: -8.068 eV/atom

***

Pa2MnMoN6: relaxed, GGA-PBE.

Cell lengths 5.308, 5.308, 4.677 Å; angles 90.00, 90.00, 90.00 degrees
Space group P4mm (No. 99)
Asymmetric unit:
Pa1 0.000 0.500 0.000 x2
Mn1 0.000 0.000 0.601 x1
Mo1 0.500 0.500 0.581 x1
N1 0.000 0.000 0.202 x1
N2 0.249 0.249 0.731 x4
N3 0.500 0.500 0.191 x1

Summary:
Raw formation energy: -794 meV/atom
Crystal system: tetragonal
Density: 8.8 g/cm3
Size of the total moment: 3.52 μB/f.u.
VASP energy: -9.688 eV/atom

***

Mn2MoPdN: relaxed, GGA-PBE.

Cell lengths 3.833, 3.833, 4.047 Å; angles 90.00, 90.00, 90.00 degrees
Space group P4/mmm (No. 123)
Asymmetric unit:
Mn1 0.000 0.500 0.000 x2
Mo1 0.000 0.000 0.500 x1
Pd1 0.500 0.500 0.500 x1
N1 0.000 0.000 0.000 x1

Summary:
Raw formation energy: -80 meV/atom
Crystal system: tetragonal
Density: 9.1 g/cm3
Size of the total moment: 0.00 μB/f.u.
VASP energy: -8.618 eV/atom

***

Pr2MnMoN5: relaxed, GGA-PBE.

Cell lengths 3.359, 14.081, 10.058 Å; angles 90.00, 90.00, 90.00 degrees
Space group Cmc2_1 (No. 36)
Asymmetric unit:
Pr1 0.000 0.119 0.000 x4
Pr2 0.000 0.129 0.622 x4
Mn1 0.000 0.444 0.755 x4
Mo1 0.000 0.208 0.328 x4
N1 0.000 0.038 0.324 x4
N2 0.000 0.301 0.956 x4
N3 0.000 0.320 0.686 x4
N4 0.000 0.339 0.314 x4
N5 0.000 0.499 0.595 x4

Summary:
Raw formation energy: -750 meV/atom
Crystal system: orthorhombic
Density: 7.0 g/cm3
Size of the total moment: 1.56 μB/f.u.
VASP energy: -8.659 eV/atom

***

Pu2MnMoN5: relaxed, GGA-PBE.

Cell lengths 3.197, 12.761, 9.968 Å; angles 90.00, 90.00, 90.00 degrees
Space group Cmc2_1 (No. 36)
Asymmetric unit:
Pu1 0.000 0.108 0.000 x4
Pu2 0.000 0.146 0.624 x4
Mn1 0.000 0.467 0.774 x4
Mo1 0.000 0.201 0.327 x4
N1 0.000 0.047 0.375 x4
N2 0.000 0.285 0.973 x4
N3 0.000 0.322 0.683 x4
N4 0.000 0.369 0.315 x4
N5 0.000 0.488 0.096 x4

Summary:
Raw formation energy: -784 meV/atom
Crystal system: orthorhombic
Density: 11.6 g/cm3
Size of the total moment: 9.31 μB/f.u.
VASP energy: -10.817 eV/atom

***

Mn2ReMoN: relaxed, GGA-PBE.

Cell lengths 3.805, 3.805, 4.062 Å; angles 90.00, 90.00, 90.00 degrees
Space group P4/mmm (No. 123)
Asymmetric unit:
Mn1 0.000 0.500 0.000 x2
Re1 0.000 0.000 0.500 x1
Mo1 0.500 0.500 0.500 x1
N1 0.500 0.500 0.000 x1

Summary:
Raw formation energy: -52 meV/atom
Crystal system: tetragonal
Density: 11.5 g/cm3
Size of the total moment: 0.00 μB/f.u.
VASP energy: -10.040 eV/atom